# PuNp3P4 | Alexandria via LeMat-Bulk | PBE-GGA | relaxed
# - ΔH_f (0 K): -7.49 eV/f.u.
# - Density of states at the Fermi level: 31.0 states/eV/f.u.
data_PuNp3P4
_chemical_formula_sum 'Pu1 Np3 P4'
_symmetry_space_group_name_H-M 'P m -3 m'
_symmetry_Int_Tables_number 221
_symmetry_space_group_name_Hall '-P 4 2 3'
_cell_length_a 5.624
_cell_length_b 5.624
_cell_length_c 5.624
_cell_angle_alpha 90.00
_cell_angle_beta 90.00
_cell_angle_gamma 90.00
loop_
_atom_site_label
_atom_site_fract_x
_atom_site_fract_y
_atom_site_fract_z
Pu1 0.000 0.000 0.000
Np1 0.000 0.500 0.500
P1 0.000 0.000 0.500
P2 0.500 0.500 0.500



# Ca2InCuH | Alexandria via LeMat-Bulk | PBE-GGA | relaxed
# - Density of states at the Fermi level: 1.4 states/eV/f.u.
data_Ca2InCuH
_chemical_formula_sum 'Ca2 In1 Cu1 H1'
_symmetry_space_group_name_H-M 'P 4/m m m'
_symmetry_Int_Tables_number 123
_symmetry_space_group_name_Hall '-P 4 2'
_cell_length_a 5.196
_cell_length_b 5.196
_cell_length_c 3.786
_cell_angle_alpha 90.00
_cell_angle_beta 90.00
_cell_angle_gamma 90.00
loop_
_atom_site_label
_atom_site_fract_x
_atom_site_fract_y
_atom_site_fract_z
Ca1 0.000 0.500 0.000
In1 0.000 0.000 0.500
Cu1 0.500 0.500 0.500
H1 0.500 0.500 0.000



# DyTcOs | Alexandria via LeMat-Bulk | PBE-GGA | relaxed
# - ΔH_f (0 K): -0.50 eV/f.u.
# - Relative energy among the computed polymorphs: 0.26 eV/f.u.
# - Density of states at the Fermi level: 2.1 states/eV/f.u.
data_DyTcOs
_chemical_formula_sum 'Dy4 Tc4 Os4'
_symmetry_space_group_name_H-M 'C 1 2/m 1'
_symmetry_Int_Tables_number 12
_cell_length_a 10.175
_cell_length_b 4.378
_cell_length_c 7.090
_cell_angle_alpha 90.00
_cell_angle_beta 132.51
_cell_angle_gamma 90.00
loop_
_symmetry_equiv_pos_as_xyz
'x,y,z'
'-x,-y,-z'
'-x,y,-z'
'x,-y,z'
'x+1/2,y+1/2,z'
'-x+1/2,-y+1/2,-z'
'-x+1/2,y+1/2,-z'
'x+1/2,-y+1/2,z'
loop_
_atom_site_label
_atom_site_fract_x
_atom_site_fract_y
_atom_site_fract_z
Dy1 0.065 0.000 0.316
Tc1 0.161 0.500 0.073
Os1 0.165 0.500 0.730



One value per record, in order, for uncorrected energy: -10.285 -3.127 -8.901 eV/atom.